PIrSCl2 | GGA-PBE | optimized geometry

The energy above the most stable polymorph in this dataset is 0.0471 eV per atom. The formation energy (no corrections) is 0.69 eV per atom. As for the spin magnetization: 1.23 μB/cell.

a = 4.814 Å, b = 4.814 Å, c = 4.619 Å
α = 90.00°, β = 90.00°, γ = 90.00°
Last column: magnetic moment on the atom in μB.
Sites, in units of the cell vectors:
Ir: 0.000 0.000 0.000  -0.25
Cl: 0.500 0.000 0.000  0.03
S: 0.000 0.000 0.500  -0.19
Cl: 0.000 0.500 0.000  0.03
P: 0.500 0.500 0.500  0.78

***

PmPa2Si | GGA-PBE | optimized geometry

The energy above the most stable polymorph in this dataset is 0.3872 eV per atom. The formation energy (no corrections) is 0.28 eV per atom. As for the spin magnetization: 0.00 μB/cell.

a = 5.136 Å, b = 5.136 Å, c = 5.135 Å
α = 59.99°, β = 59.99°, γ = 60.00°
Sites, in units of the cell vectors:
Pa: 0.750 0.750 0.750
Pa: 0.250 0.250 0.250
Si: 0.500 0.500 0.500
Pm: 0.000 0.000 0.000

***

CsHfReN4 | GGA-PBE | optimized geometry

The formation energy (no corrections) is -0.58 eV per atom. As for the spin magnetization: 0.00 μB/cell.

a = 5.780 Å, b = 6.092 Å, c = 8.279 Å
α = 90.00°, β = 108.08°, γ = 90.00°
Sites, in units of the cell vectors:
N: 0.070 0.979 0.363
N: 0.930 0.021 0.637
Hf: 0.825 0.750 0.460
N: 0.930 0.479 0.637
Cs: 0.274 0.250 0.060
Hf: 0.175 0.250 0.540
Re: 0.709 0.250 0.626
N: 0.070 0.521 0.363
N: 0.493 0.750 0.240
N: 0.515 0.750 0.574
Re: 0.291 0.750 0.374
N: 0.485 0.250 0.426
Cs: 0.726 0.750 0.940
N: 0.507 0.250 0.760

***

MgSeNF2 | GGA-PBE | optimized geometry

The energy above the most stable polymorph in this dataset is 0.5541 eV per atom. The formation energy (no corrections) is -0.32 eV per atom. As for the spin magnetization: 0.00 μB/cell.

a = 4.584 Å, b = 4.584 Å, c = 3.701 Å
α = 90.00°, β = 90.00°, γ = 90.00°
Sites, in units of the cell vectors:
F: 0.500 0.000 0.000
Mg: 0.500 0.500 0.500
Se: 0.000 0.000 0.000
N: 0.000 0.000 0.500
F: 0.000 0.500 0.000

***

PmErMn17 | GGA-PBE | optimized geometry

The calculation puts the energy at -8.68 eV/atom. As for the spin magnetization: 4.24 μB/cell.

a = 6.337 Å, b = 6.337 Å, c = 6.337 Å
α = 86.31°, β = 86.31°, γ = 86.31°
Last column: magnetic moment on the atom in μB.
Sites, in units of the cell vectors:
Mn: 0.100 0.100 0.100  -2.01
Mn: 0.001 0.726 0.275  -1.06
Mn: 0.644 0.123 0.644  2.37
Mn: 0.001 0.001 0.500  0.28
Mn: 0.726 0.275 0.001  -1.06
Mn: 0.354 0.878 0.354  2.33
Mn: 0.001 0.275 0.726  -1.06
Mn: 0.500 0.001 0.001  0.28
Mn: 0.001 0.500 0.001  0.28
Mn: 0.901 0.901 0.901  -2.08
Mn: 0.726 0.001 0.275  -1.06
Mn: 0.275 0.001 0.726  -1.06
Mn: 0.275 0.726 0.001  -1.06
Pm: 0.643 0.643 0.643  -0.10
Mn: 0.644 0.644 0.123  2.37
Mn: 0.878 0.354 0.354  2.33
Mn: 0.354 0.354 0.878  2.33
Er: 0.353 0.353 0.353  -0.15
Mn: 0.123 0.644 0.644  2.37

***

LiTe2Au | GGA-PBE | optimized geometry

The formation energy (no corrections) is -0.27 eV per atom. As for the spin magnetization: 0.00 μB/cell.

a = 4.413 Å, b = 4.413 Å, c = 6.594 Å
α = 70.45°, β = 70.45°, γ = 60.00°
Sites, in units of the cell vectors:
Te: 0.254 0.254 0.239
Li: 0.500 0.500 0.499
Te: 0.083 0.083 0.750
Au: 0.662 0.662 0.013